<a>
DFT (GGA-PBE) results for an optimized crystal structure of YZr3Be.

V: 27.51 A^3/atom
symmetry: Pm-3m (221)

a b c (Å): 5.1620 5.1620 5.1620
angles (deg): 90.00 90.00 90.00
Atoms (fractional coordinates):
Y 0.0000 0.0000 0.0000
Be 0.5000 0.5000 0.5000
Zr 0.0000 0.5000 0.0000
Zr 0.0000 0.0000 0.5000
Zr 0.5000 0.0000 0.0000

---

<b>
DFT (GGA-PBE) results for an optimized crystal structure of YZr3Be.

V: 23.61 A^3/atom
symmetry: Pm-3m (221)

a b c (Å): 4.9055 4.9055 4.9055
angles (deg): 90.00 90.00 90.00
Atoms (fractional coordinates):
Y 0.5000 0.5000 0.5000
Be 0.0000 0.0000 0.0000
Zr 0.0000 0.5000 0.0000
Zr 0.0000 0.0000 0.5000
Zr 0.5000 0.0000 0.0000

---

Energies relative to the minimum, meV/atom: <a> 1476; <b> 0

---

<a>
DFT (GGA-PBE) results for an optimized crystal structure of Y3ZrBe.

V: 32.44 A^3/atom
symmetry: Pm-3m (221)

a b c (Å): 5.4537 5.4537 5.4537
angles (deg): 90.00 90.00 90.00
Atoms (fractional coordinates):
Y 0.0000 0.5000 0.0000
Y 0.0000 0.0000 0.5000
Y 0.5000 0.0000 0.0000
Be 0.5000 0.5000 0.5000
Zr 0.0000 0.0000 0.0000

---

<b>
DFT (GGA-PBE) results for an optimized crystal structure of Y3ZrBe.

V: 28.39 A^3/atom
symmetry: Pm-3m (221)

a b c (Å): 5.2165 5.2165 5.2165
angles (deg): 90.00 90.00 90.00
Atoms (fractional coordinates):
Y 0.0000 0.5000 0.0000
Y 0.0000 0.0000 0.5000
Y 0.5000 0.0000 0.0000
Be 0.0000 0.0000 0.0000
Zr 0.5000 0.5000 0.5000

---

Energies relative to the minimum, meV/atom: <a> 637; <b> 0

---

<a>
DFT (GGA-PBE) results for an optimized crystal structure of Be2Zn.

V: 11.55 A^3/atom
symmetry: I4/mcm (140)

a b c (Å): 4.5232 4.5232 4.5232
angles (deg): 104.36 104.36 120.25
Atoms (fractional coordinates):
Be 0.1433 0.3567 0.5000
Be 0.8567 0.6433 0.5000
Be 0.6433 0.1433 0.7866
Be 0.3567 0.8567 0.2134
Zn 0.7500 0.7500 0.0000
Zn 0.2500 0.2500 0.0000

---

<b>
DFT (GGA-PBE) results for an optimized crystal structure of Be2Zn.

V: 10.01 A^3/atom
symmetry: P6_3/mmc (194)

a b c (Å): 4.4003 4.4003 14.3322
angles (deg): 90.00 90.00 120.00
Atoms (fractional coordinates):
Be 0.6667 0.3333 0.1231
Be 0.3333 0.6667 0.8769
Be 0.3333 0.6667 0.6231
Be 0.6667 0.3333 0.3769
Be 0.0000 0.5000 0.0000
Be 0.5000 0.5000 0.0000
Be 0.5000 0.0000 0.0000
Be 0.0000 0.5000 0.5000
Be 0.5000 0.5000 0.5000
Be 0.5000 0.0000 0.5000
Be 0.3395 0.1697 0.2500
Be 0.8303 0.1697 0.2500
Be 0.8303 0.6605 0.2500
Be 0.6605 0.8303 0.7500
Be 0.1697 0.8303 0.7500
Be 0.1697 0.3395 0.7500
Zn 0.0000 0.0000 0.0949
Zn 0.0000 0.0000 0.9051
Zn 0.0000 0.0000 0.5949
Zn 0.0000 0.0000 0.4051
Zn 0.6667 0.3333 0.8444
Zn 0.3333 0.6667 0.1556
Zn 0.3333 0.6667 0.3444
Zn 0.6667 0.3333 0.6556

---

Energies relative to the minimum, meV/atom: <a> 456; <b> 0

---

<a>
DFT (GGA-PBE) results for an optimized crystal structure of Be2Zn.

V: 12.00 A^3/atom
symmetry: I4_1/amd (141)

a b c (Å): 6.2324 6.2324 6.2324
angles (deg): 146.87 146.87 47.55
Atoms (fractional coordinates):
Be 0.5892 0.5892 0.0000
Be 0.1608 0.6608 0.5000
Be 0.4108 0.4108 0.0000
Be 0.3392 0.8392 0.5000
Zn 0.0000 0.0000 0.0000
Zn 0.7500 0.2500 0.5000

---

<b>
DFT (GGA-PBE) results for an optimized crystal structure of Be2Zn.

V: 10.27 A^3/atom
symmetry: Immm (71)

a b c (Å): 4.1776 4.1776 4.1776
angles (deg): 144.79 132.22 60.72
Atoms (fractional coordinates):
Be 0.3281 0.3281 0.0000
Be 0.6719 0.6719 0.0000
Zn 0.0000 0.0000 0.0000

---

<c>
DFT (GGA-PBE) results for an optimized crystal structure of Be2Zn.

V: 10.47 A^3/atom
symmetry: P6_3/mmc (194)

a b c (Å): 3.8898 3.8898 4.7941
angles (deg): 90.00 90.00 120.00
Atoms (fractional coordinates):
Be 0.0000 0.0000 0.0000
Be 0.0000 0.0000 0.5000
Be 0.3333 0.6667 0.2500
Be 0.6667 0.3333 0.7500
Zn 0.6667 0.3333 0.2500
Zn 0.3333 0.6667 0.7500

---

<d>
DFT (GGA-PBE) results for an optimized crystal structure of Be2Zn.

V: 10.22 A^3/atom
symmetry: I4_1/amd (141)

a b c (Å): 10.6892 10.6892 10.6892
angles (deg): 161.52 161.52 26.25
Atoms (fractional coordinates):
Be 0.7497 0.7497 0.0000
Be 0.2503 0.2503 0.0000
Be 0.9997 0.4997 0.5000
Be 0.5003 0.0003 0.5000
Be 0.5769 0.5769 0.0000
Be 0.4231 0.4231 0.0000
Be 0.8269 0.3269 0.5000
Be 0.6731 0.1731 0.5000
Zn 0.9202 0.9202 0.0000
Zn 0.0798 0.0798 0.0000
Zn 0.1702 0.6702 0.5000
Zn 0.3298 0.8298 0.5000

---

Energies relative to the minimum, meV/atom: <a> 399; <b> 17; <c> 110; <d> 0

---

<a>
DFT (GGA-PBE) results for an optimized crystal structure of Be2Zn.

V: 12.62 A^3/atom
symmetry: P4/mmm (123)

a b c (Å): 3.9418 3.9418 2.4364
angles (deg): 90.00 90.00 90.00
Atoms (fractional coordinates):
Be 0.0000 0.5000 0.5000
Be 0.5000 0.0000 0.5000
Zn 0.0000 0.0000 0.0000

---

<b>
DFT (GGA-PBE) results for an optimized crystal structure of Be2Zn.

V: 10.25 A^3/atom
symmetry: C2/m (12)

a b c (Å): 4.5463 4.5463 5.7288
angles (deg): 76.32 76.32 32.39
Atoms (fractional coordinates):
Be 0.4725 0.4725 0.7756
Be 0.1332 0.1332 0.4722
Be 0.8668 0.8668 0.5278
Be 0.5275 0.5275 0.2244
Zn 0.8136 0.8136 0.1476
Zn 0.1864 0.1864 0.8524

---

<c>
DFT (GGA-PBE) results for an optimized crystal structure of Be2Zn.

V: 10.20 A^3/atom
symmetry: Cmcm (63)

a b c (Å): 6.4490 6.4490 3.8123
angles (deg): 90.00 90.00 157.29
Atoms (fractional coordinates):
Be 0.7769 0.2231 0.7500
Be 0.4431 0.5569 0.7500
Be 0.2231 0.7769 0.2500
Be 0.5569 0.4431 0.2500
Zn 0.1111 0.8889 0.7500
Zn 0.8889 0.1111 0.2500

---

<d>
DFT (GGA-PBE) results for an optimized crystal structure of Be2Zn.

V: 10.93 A^3/atom
symmetry: Immm (71)

a b c (Å): 4.0779 4.0779 4.0779
angles (deg): 143.30 124.78 68.15
Atoms (fractional coordinates):
Be 0.2987 0.7987 0.5000
Be 0.7013 0.2013 0.5000
Zn 0.0000 0.0000 0.0000

---

Energies relative to the minimum, meV/atom: <a> 293; <b> 0; <c> 8; <d> 88

---

<a>
DFT (GGA-PBE) results for an optimized crystal structure of Be2Zn.

V: 10.53 A^3/atom
symmetry: P-3m1 (164)

a b c (Å): 2.5036 2.5036 5.8194
angles (deg): 90.00 90.00 120.00
Atoms (fractional coordinates):
Be 0.6667 0.3333 0.6472
Be 0.3333 0.6667 0.3528
Zn 0.0000 0.0000 0.0000

---

<b>
DFT (GGA-PBE) results for an optimized crystal structure of Be2Zn.

V: 11.97 A^3/atom
symmetry: Imma (74)

a b c (Å): 5.8441 5.8441 5.8441
angles (deg): 144.00 141.96 53.38
Atoms (fractional coordinates):
Be 0.0429 0.2929 0.7500
Be 0.9571 0.7071 0.2500
Be 0.8356 0.0856 0.7500
Be 0.1644 0.9144 0.2500
Zn 0.3320 0.5820 0.7500
Zn 0.6680 0.4180 0.2500

---

Energies relative to the minimum, meV/atom: <a> 0; <b> 84

---

<a>
DFT (GGA-PBE) results for an optimized crystal structure of Be2Zn.

V: 10.43 A^3/atom
symmetry: Cmcm (63)

a b c (Å): 3.6135 4.2877 4.4260
angles (deg): 90.00 114.09 90.00
Atoms (fractional coordinates):
Be 0.5640 0.7500 0.1281
Be 0.4360 0.2500 0.8719
Be 0.0000 0.0000 0.0000
Be 0.0000 0.5000 0.0000
Zn 0.2821 0.7500 0.5642
Zn 0.7179 0.2500 0.4358

---

<b>
DFT (GGA-PBE) results for an optimized crystal structure of Be2Zn.

V: 10.29 A^3/atom
symmetry: Cm (8)

a b c (Å): 4.5450 4.5450 5.7027
angles (deg): 78.41 78.41 32.42
Atoms (fractional coordinates):
Be 0.0062 0.0062 0.9727
Be 0.6708 0.6708 0.6671
Be 0.3259 0.3259 0.3527
Be 0.3884 0.3884 0.7249
Zn 0.0451 0.0451 0.4010
Zn 0.7303 0.7303 0.0483

---

<c>
DFT (GGA-PBE) results for an optimized crystal structure of Be2Zn.

V: 10.41 A^3/atom
symmetry: I4/mmm (139)

a b c (Å): 5.3947 5.3947 5.3947
angles (deg): 153.49 153.49 37.85
Atoms (fractional coordinates):
Be 0.3186 0.3186 0.0000
Be 0.6814 0.6814 0.0000
Zn 0.0000 0.0000 0.0000

---

Energies relative to the minimum, meV/atom: <a> 0; <b> 67; <c> 104

---

<a>
DFT (GGA-PBE) results for an optimized crystal structure of Be3Zn2.

V: 11.88 A^3/atom
symmetry: P-3m1 (164)

a b c (Å): 3.8347 3.8347 4.6637
angles (deg): 90.00 90.00 120.00
Atoms (fractional coordinates):
Be 0.0000 0.0000 0.0000
Be 0.6667 0.3333 0.6390
Be 0.3333 0.6667 0.3610
Zn 0.6667 0.3333 0.1555
Zn 0.3333 0.6667 0.8445

---

<b>
DFT (GGA-PBE) results for an optimized crystal structure of Be3Zn2.

V: 11.35 A^3/atom
symmetry: Fdd2 (43)

a b c (Å): 8.1651 7.6385 4.1925
angles (deg): 81.69 67.77 30.54
Atoms (fractional coordinates):
Be 0.8723 0.3785 0.3035
Be 0.4456 0.3035 0.3785
Be 0.8715 0.3777 0.8044
Be 0.9465 0.8044 0.3777
Be 0.8762 0.1238 0.1238
Be 0.1262 0.3738 0.3738
Zn 0.2770 0.8014 0.3927
Zn 0.5289 0.3927 0.8014
Zn 0.4486 0.9730 0.7211
Zn 0.8573 0.7211 0.9730

---

<c>
DFT (GGA-PBE) results for an optimized crystal structure of Be3Zn2.

V: 10.92 A^3/atom
symmetry: R-3m (166)

a b c (Å): 9.9591 9.9591 9.9591
angles (deg): 14.59 14.59 14.59
Atoms (fractional coordinates):
Be 0.0000 0.0000 0.0000
Be 0.8053 0.8053 0.8053
Be 0.1947 0.1947 0.1947
Zn 0.4022 0.4022 0.4022
Zn 0.5978 0.5978 0.5978

---

Energies relative to the minimum, meV/atom: <a> 99; <b> 0; <c> 78

---

<a>
DFT (GGA-PBE) results for an optimized crystal structure of Be4Zn5.

V: 12.01 A^3/atom
symmetry: P6_3/mcm (193)

a b c (Å): 6.9589 6.9589 5.1534
angles (deg): 90.00 90.00 120.00
Atoms (fractional coordinates):
Be 0.0000 0.0000 0.0000
Be 0.0000 0.0000 0.5000
Be 0.0000 0.3375 0.2500
Be 0.6625 0.6625 0.2500
Be 0.3375 0.0000 0.2500
Be 0.0000 0.6625 0.7500
Be 0.3375 0.3375 0.7500
Be 0.6625 0.0000 0.7500
Zn 0.0000 0.6826 0.2500
Zn 0.3174 0.3174 0.2500
Zn 0.6826 0.0000 0.2500
Zn 0.0000 0.3174 0.7500
Zn 0.6826 0.6826 0.7500
Zn 0.3174 0.0000 0.7500
Zn 0.6667 0.3333 0.0000
Zn 0.3333 0.6667 0.5000
Zn 0.3333 0.6667 0.0000
Zn 0.6667 0.3333 0.5000

---

<b>
DFT (GGA-PBE) results for an optimized crystal structure of Be4Zn5.

V: 12.02 A^3/atom
symmetry: I4/mmm (139)

a b c (Å): 5.7377 5.7377 5.7377
angles (deg): 95.84 95.84 142.81
Atoms (fractional coordinates):
Be 0.3593 0.0000 0.3593
Be 0.6407 0.0000 0.6407
Be 0.0000 0.6407 0.6407
Be 0.0000 0.3593 0.3593
Zn 0.0000 0.0000 0.0000
Zn 0.3275 0.6725 0.0000
Zn 0.6725 0.3275 0.0000
Zn 0.6725 0.6725 0.3449
Zn 0.3275 0.3275 0.6551

---

Energies relative to the minimum, meV/atom: <a> 80; <b> 0